Entry 1:
A relaxed Na2PrH8Rh crystal, computed with PBE-GGA.

Computed properties:
E_tot, eV/atom: -3.80

Unit cell a=4.794 b=4.794 c=6.320 alpha=90.00 beta=90.00 gamma=120.00
Element x y z (fractional)
1 Na 0.333 0.667 0.366
2 Na 0.667 0.333 0.634
3 Pr 0.000 0.000 0.000
4 H 0.158 0.316 0.663
5 H 0.158 0.842 0.663
6 H 0.316 0.158 0.337
7 H 0.333 0.667 0.014
8 H 0.667 0.333 0.986
9 H 0.684 0.842 0.663
10 H 0.842 0.158 0.337
11 H 0.842 0.684 0.337
12 Rh 0.000 0.000 0.500

=====

Entry 2:
A relaxed NaH12Pt7 crystal, computed with PBE-GGA.

Computed properties:
E_tot, eV/atom: -4.16
Fermi-level density of states, states/eV per atom: 0.338

Unit cell a=5.826 b=5.826 c=5.826 alpha=88.58 beta=88.58 gamma=88.58
Element x y z (fractional)
1 Na 0.000 0.000 0.000
2 H 0.090 0.870 0.381
3 H 0.130 0.619 0.910
4 H 0.241 0.393 0.635
5 H 0.365 0.759 0.607
6 H 0.381 0.090 0.870
7 H 0.393 0.635 0.241
8 H 0.607 0.365 0.759
9 H 0.619 0.910 0.130
10 H 0.635 0.241 0.393
11 H 0.759 0.607 0.365
12 H 0.870 0.381 0.090
13 H 0.910 0.130 0.619
14 Pt 0.147 0.501 0.177
15 Pt 0.177 0.147 0.501
16 Pt 0.499 0.823 0.853
17 Pt 0.500 0.500 0.500
18 Pt 0.501 0.177 0.147
19 Pt 0.823 0.853 0.499
20 Pt 0.853 0.499 0.823

=====

Entry 3:
A relaxed Na2H4Pt crystal, computed with PBE-GGA.

Computed properties:
E_tot, eV/atom: -3.54
Fermi-level density of states, states/eV per atom: 0.000

Unit cell a=4.960 b=4.960 c=4.960 alpha=116.65 beta=116.65 gamma=95.91
Element x y z (fractional)
1 Na 0.250 0.750 0.500
2 Na 0.750 0.250 0.500
3 H 0.225 0.225 0.450
4 H 0.225 0.775 0.000
5 H 0.775 0.225 0.000
6 H 0.775 0.775 0.550
7 Pt 0.000 0.000 0.000

=====

Entry 4:
A relaxed NaH4Pt2 crystal, computed with PBE-GGA.

Computed properties:
E_tot, eV/atom: -3.94
Fermi-level density of states, states/eV per atom: 0.102

Unit cell a=5.968 b=5.957 c=5.841 alpha=60.77 beta=60.58 gamma=58.65
Element x y z (fractional)
1 Na 0.125 0.125 0.125
2 Na 0.875 0.875 0.875
3 H 0.272 0.661 0.283
4 H 0.283 0.283 0.272
5 H 0.283 0.283 0.661
6 H 0.339 0.728 0.717
7 H 0.661 0.272 0.283
8 H 0.717 0.717 0.339
9 H 0.717 0.717 0.728
10 H 0.728 0.339 0.717
11 Pt 0.000 0.500 0.500
12 Pt 0.500 0.000 0.500
13 Pt 0.500 0.500 0.000
14 Pt 0.500 0.500 0.500

=====

Entry 5:
A relaxed Na3H2Pt crystal, computed with PBE-GGA.

Computed properties:
E_tot, eV/atom: -2.99
Fermi-level density of states, states/eV per atom: 0.142

Unit cell a=8.761 b=8.761 c=8.761 alpha=146.32 beta=54.86 gamma=138.02
Element x y z (fractional)
1 Na 0.087 0.750 0.337
2 Na 0.250 0.250 0.000
3 Na 0.413 0.750 0.663
4 Na 0.587 0.250 0.337
5 Na 0.750 0.750 0.000
6 Na 0.913 0.250 0.663
7 H 0.072 0.744 0.816
8 H 0.428 0.244 0.672
9 H 0.572 0.756 0.328
10 H 0.928 0.256 0.184
11 Pt 0.000 0.500 0.500
12 Pt 0.500 0.000 0.500

=====

Entry 6:
A relaxed NaHPt crystal, computed with PBE-GGA.

Computed properties:
E_tot, eV/atom: -3.74
Fermi-level density of states, states/eV per atom: 0.297

Unit cell a=3.152 b=3.152 c=4.780 alpha=90.00 beta=90.00 gamma=120.00
Element x y z (fractional)
1 Na 0.000 0.000 0.000
2 H 0.333 0.667 0.502
3 Pt 0.667 0.333 0.500

=====

Entry 7:
A relaxed Na2H4Pt crystal, computed with PBE-GGA.

Computed properties:
E_tot, eV/atom: -3.48
Fermi-level density of states, states/eV per atom: 0.059

Unit cell a=6.051 b=6.051 c=6.051 alpha=143.38 beta=143.38 gamma=52.75
Element x y z (fractional)
1 Na 0.137 0.137 0.000
2 Na 0.863 0.863 0.000
3 H 0.000 0.500 0.500
4 H 0.345 0.345 0.000
5 H 0.500 0.000 0.500
6 H 0.655 0.655 0.000
7 Pt 0.500 0.500 0.000

=====

Entry 8:
A relaxed Na3H6Pt crystal, computed with PBE-GGA.

Computed properties:
E_tot, eV/atom: -3.26
Fermi-level density of states, states/eV per atom: 0.201

Unit cell a=5.440 b=5.440 c=5.480 alpha=119.93 beta=119.93 gamma=59.98
Element x y z (fractional)
1 Na 0.000 0.000 0.000
2 Na 0.248 0.248 0.746
3 Na 0.752 0.752 0.254
4 H 0.257 0.697 0.694
5 H 0.282 0.282 0.238
6 H 0.303 0.743 0.306
7 H 0.697 0.257 0.694
8 H 0.718 0.718 0.762
9 H 0.743 0.303 0.306
10 Pt 0.500 0.500 0.500

=====

Entry 9:
A relaxed NaH6Pt crystal, computed with PBE-GGA.

Computed properties:
E_tot, eV/atom: -3.49
Fermi-level density of states, states/eV per atom: 0.188

Unit cell a=5.179 b=5.179 c=3.692 alpha=110.73 beta=110.73 gamma=62.73
Element x y z (fractional)
1 Na 0.000 0.000 0.000
2 H 0.137 0.574 0.359
3 H 0.426 0.863 0.641
4 H 0.439 0.439 0.979
5 H 0.561 0.561 0.021
6 H 0.574 0.137 0.359
7 H 0.863 0.426 0.641
8 Pt 0.500 0.500 0.500

=====

Entry 10:
A relaxed NaH2Pt crystal, computed with PBE-GGA.

Computed properties:
E_tot, eV/atom: -3.02
Fermi-level density of states, states/eV per atom: 0.225

Unit cell a=3.872 b=3.872 c=3.872 alpha=60.00 beta=60.00 gamma=60.00
Element x y z (fractional)
1 Na 0.000 0.000 0.000
2 H 0.250 0.250 0.250
3 H 0.750 0.750 0.750
4 Pt 0.500 0.500 0.500

=====

Entry 11:
A relaxed Na2H3Pt2 crystal, computed with PBE-GGA.

Computed properties:
E_tot, eV/atom: -3.76
Fermi-level density of states, states/eV per atom: 0.152

Unit cell a=5.815 b=5.815 c=5.589 alpha=111.28 beta=111.28 gamma=29.26
Element x y z (fractional)
1 Na 0.102 0.102 0.272
2 Na 0.898 0.898 0.728
3 H 0.201 0.201 0.705
4 H 0.500 0.500 0.500
5 H 0.799 0.799 0.295
6 Pt 0.354 0.354 0.206
7 Pt 0.646 0.646 0.794

=====

Entry 12:
A relaxed Na2H8Pt crystal, computed with PBE-GGA.

Computed properties:
E_tot, eV/atom: -3.49
Fermi-level density of states, states/eV per atom: 0.000

Unit cell a=5.276 b=5.276 c=5.396 alpha=119.86 beta=119.86 gamma=58.61
Element x y z (fractional)
1 Na 0.245 0.245 0.242
2 Na 0.755 0.755 0.758
3 H 0.202 0.749 0.688
4 H 0.215 0.215 0.758
5 H 0.251 0.798 0.312
6 H 0.490 0.490 0.921
7 H 0.510 0.510 0.079
8 H 0.749 0.202 0.688
9 H 0.785 0.785 0.242
10 H 0.798 0.251 0.312
11 Pt 0.000 0.000 0.500

=====

Entry 13:
A relaxed Na2H5Pt crystal, computed with PBE-GGA.

Computed properties:
E_tot, eV/atom: -3.46
Fermi-level density of states, states/eV per atom: 0.134

Unit cell a=6.644 b=4.981 c=10.083 alpha=90.00 beta=90.00 gamma=90.00
Element x y z (fractional)
1 Na 0.010 0.250 0.208
2 Na 0.161 0.750 0.424
3 Na 0.339 0.250 0.924
4 Na 0.490 0.750 0.708
5 Na 0.510 0.250 0.292
6 Na 0.661 0.750 0.076
7 Na 0.839 0.250 0.576
8 Na 0.990 0.750 0.792
9 H 0.000 0.000 0.000
10 H 0.000 0.500 0.000
11 H 0.036 0.750 0.205
12 H 0.186 0.506 0.632
13 H 0.186 0.994 0.632
14 H 0.189 0.250 0.429
15 H 0.311 0.750 0.929
16 H 0.314 0.006 0.132
17 H 0.314 0.494 0.132
18 H 0.464 0.250 0.705
19 H 0.500 0.000 0.500
20 H 0.500 0.500 0.500
21 H 0.536 0.750 0.295
22 H 0.686 0.506 0.868
23 H 0.686 0.994 0.868
24 H 0.689 0.250 0.071
25 H 0.811 0.750 0.571
26 H 0.814 0.006 0.368
27 H 0.814 0.494 0.368
28 H 0.964 0.250 0.795
29 Pt 0.175 0.750 0.070
30 Pt 0.325 0.250 0.570
31 Pt 0.675 0.750 0.430
32 Pt 0.825 0.250 0.930

=====

Entry 14:
A relaxed NaHPt2 crystal, computed with PBE-GGA.

Computed properties:
E_tot, eV/atom: -3.49
Fermi-level density of states, states/eV per atom: 0.333

Unit cell a=4.256 b=4.256 c=4.256 alpha=60.00 beta=60.00 gamma=60.00
Element x y z (fractional)
1 Na 0.000 0.000 0.000
2 H 0.500 0.500 0.500
3 Pt 0.250 0.250 0.250
4 Pt 0.750 0.750 0.750

=====

Entry 15:
A relaxed NaHPt2 crystal, computed with PBE-GGA.

Computed properties:
E_tot, eV/atom: -4.30
Fermi-level density of states, states/eV per atom: 0.508

Unit cell a=5.672 b=5.672 c=5.672 alpha=60.00 beta=60.00 gamma=60.00
Element x y z (fractional)
1 Na 0.125 0.125 0.125
2 Na 0.875 0.875 0.875
3 H 0.375 0.375 0.375
4 H 0.625 0.625 0.625
5 Pt 0.000 0.500 0.500
6 Pt 0.500 0.000 0.500
7 Pt 0.500 0.500 0.000
8 Pt 0.500 0.500 0.500

=====

Entry 16:
A relaxed NaH2Pt2 crystal, computed with PBE-GGA.

Computed properties:
E_tot, eV/atom: -4.14
Fermi-level density of states, states/eV per atom: 0.176

Unit cell a=5.863 b=5.863 c=5.863 alpha=141.92 beta=141.92 gamma=54.95
Element x y z (fractional)
1 Na 0.000 0.000 0.000
2 H 0.250 0.750 0.500
3 H 0.750 0.250 0.500
4 Pt 0.266 0.266 0.000
5 Pt 0.734 0.734 0.000

=====

Entry 17:
A relaxed Na3H3Pt crystal, computed with PBE-GGA.

Computed properties:
E_tot, eV/atom: -3.07
Fermi-level density of states, states/eV per atom: 0.091

Unit cell a=5.447 b=5.447 c=5.447 alpha=112.90 beta=112.90 gamma=112.90
Element x y z (fractional)
1 Na 0.199 0.199 0.601
2 Na 0.199 0.601 0.199
3 Na 0.601 0.199 0.199
4 H 0.055 0.731 0.731
5 H 0.731 0.055 0.731
6 H 0.731 0.731 0.055
7 Pt 0.847 0.847 0.847

=====

Entry 18:
A relaxed NaH2Pt crystal, computed with PBE-GGA.

Computed properties:
E_tot, eV/atom: -3.54
Fermi-level density of states, states/eV per atom: 0.150

Unit cell a=5.450 b=5.450 c=5.450 alpha=32.96 beta=32.96 gamma=32.96
Element x y z (fractional)
1 Na 0.000 0.000 0.000
2 H 0.219 0.219 0.219
3 H 0.781 0.781 0.781
4 Pt 0.500 0.500 0.500

=====

Entry 19:
A relaxed Na2H5Pt crystal, computed with PBE-GGA.

Computed properties:
E_tot, eV/atom: -3.46
Fermi-level density of states, states/eV per atom: 0.104

Unit cell a=5.592 b=5.592 c=9.452 alpha=90.00 beta=90.00 gamma=139.19
Element x y z (fractional)
1 Na 0.147 0.853 0.585
2 Na 0.147 0.853 0.915
3 Na 0.853 0.147 0.085
4 Na 0.853 0.147 0.415
5 H 0.055 0.945 0.129
6 H 0.055 0.945 0.371
7 H 0.278 0.722 0.125
8 H 0.278 0.722 0.375
9 H 0.336 0.664 0.750
10 H 0.664 0.336 0.250
11 H 0.722 0.278 0.625
12 H 0.722 0.278 0.875
13 H 0.945 0.055 0.629
14 H 0.945 0.055 0.871
15 Pt 0.168 0.832 0.250
16 Pt 0.832 0.168 0.750

=====

Entry 20:
A relaxed Na3H3Pt crystal, computed with PBE-GGA.

Computed properties:
E_tot, eV/atom: -3.13
Fermi-level density of states, states/eV per atom: 0.092

Unit cell a=6.357 b=6.357 c=4.947 alpha=90.00 beta=90.00 gamma=98.47
Element x y z (fractional)
1 Na 0.125 0.875 0.750
2 Na 0.193 0.411 0.750
3 Na 0.411 0.193 0.250
4 Na 0.589 0.807 0.750
5 Na 0.807 0.589 0.250
6 Na 0.875 0.125 0.250
7 H 0.140 0.860 0.250
8 H 0.148 0.450 0.250
9 H 0.450 0.148 0.750
10 H 0.550 0.852 0.250
11 H 0.852 0.550 0.750
12 H 0.860 0.140 0.750
13 Pt 0.322 0.678 0.250
14 Pt 0.678 0.322 0.750